Density functional theory data (GGA-PBE) for a relaxed structure of KRbICl.

E_tot in eV per atom: -3.016
Size of the total moment in μB/cell: 0.00
Raw formation energy in eV/atom: -1.65
Crystal system: trigonal
Fermi-level density of states in states/eV/f.u.: 0.00

Unit cell a=5.875 b=5.875 c=13.269 alpha=77.21 beta=77.21 gamma=60.00
Element x y z (fractional)
Rb: 0.624 0.624 0.129
Rb: 0.376 0.376 0.871
I: 0.882 0.882 0.354
I: 0.118 0.118 0.646
Cl: 0.292 0.292 0.124
Cl: 0.708 0.708 0.876
K: 0.211 0.211 0.366
K: 0.789 0.789 0.634


Density functional theory data (GGA-PBE) for a relaxed structure of CoCuRh2.

E_tot in eV per atom: -6.372
Size of the total moment in μB/cell: 1.67
Crystal system: tetragonal
Energy above the lowest structure with this stoichiometry in meV per atom: 73
Fermi-level density of states in states/eV/f.u.: 6.47

Unit cell a=4.622 b=4.622 c=4.622 alpha=133.00 beta=133.00 gamma=68.66
Element x y z (fractional)
Rh: 0.000 0.000 0.000
Rh: 0.250 0.750 0.500
Cu: 0.750 0.250 0.500
Co: 0.500 0.500 0.000


Density functional theory data (GGA-PBE) for a relaxed structure of NaAl2Pt2.

E_tot in eV per atom: -5.019
Size of the total moment in μB/cell: 0.00
Crystal system: tetragonal
Energy above the lowest structure with this stoichiometry in meV per atom: 9
Fermi-level density of states in states/eV/f.u.: 1.40

Unit cell a=7.653 b=7.653 c=2.792 alpha=90.00 beta=90.00 gamma=90.00
Element x y z (fractional)
Al: 0.355 0.145 0.500
Al: 0.855 0.355 0.500
Al: 0.645 0.855 0.500
Al: 0.145 0.645 0.500
Na: 0.000 0.000 0.000
Na: 0.500 0.500 0.000
Pt: 0.850 0.650 0.000
Pt: 0.650 0.150 0.000
Pt: 0.350 0.850 0.000
Pt: 0.150 0.350 0.000


Density functional theory data (GGA-PBE) for a relaxed structure of SrLi4Tl2Hg.

E_tot in eV per atom: -2.054
Size of the total moment in μB/cell: 0.00
Crystal system: trigonal
Fermi-level density of states in states/eV/f.u.: 4.80

Unit cell a=4.821 b=4.821 c=9.741 alpha=75.67 beta=75.67 gamma=60.00
Element x y z (fractional)
Tl: 0.751 0.751 0.746
Tl: 0.249 0.249 0.254
Li: 0.864 0.864 0.407
Li: 0.593 0.593 0.222
Li: 0.407 0.407 0.778
Li: 0.136 0.136 0.593
Hg: 0.500 0.500 0.500
Sr: 0.000 0.000 0.000


Density functional theory data (GGA-PBE) for a relaxed structure of SrRe2W.

E_tot in eV per atom: -9.043
Size of the total moment in μB/cell: 0.00
Crystal system: orthorhombic
Energy above the lowest structure with this stoichiometry in meV per atom: 112
Fermi-level density of states in states/eV/f.u.: 4.12

Unit cell a=2.816 b=2.816 c=9.774 alpha=90.00 beta=90.00 gamma=109.03
Element x y z (fractional)
Sr: 0.000 0.000 0.495
Re: 0.500 0.500 0.214
Re: 0.000 0.000 0.003
W: 0.500 0.500 0.788


Density functional theory data (GGA-PBE) for a relaxed structure of Mg2TaGa.

E_tot in eV per atom: -4.021
Size of the total moment in μB/cell: 0.00
Crystal system: tetragonal
Fermi-level density of states in states/eV/f.u.: 1.25

Unit cell a=7.604 b=7.604 c=6.029 alpha=50.91 beta=50.91 gamma=90.00
Element x y z (fractional)
Ta: 0.000 0.000 0.000
Ta: 0.750 0.250 0.500
Mg: 0.375 0.406 0.750
Mg: 0.156 0.625 0.250
Mg: 0.594 0.125 0.250
Mg: 0.875 0.844 0.750
Ga: 0.500 0.500 0.000
Ga: 0.250 0.750 0.500


The highest E_tot belongs to which entry?
SrLi4Tl2Hg